[1]
First-principles (PBE) data for a geometry-optimized Pm3Si4Pt4 structure, as listed in the Alexandria database. Values from VASP.

The calculation puts the energy relative to the elements, uncorrected at -12.38 eV per formula unit. Its total magnetic moment is 0.0 μB per formula unit. The symmetry is No. 71. The calculation puts the volume at 215.4 Å³/cell.

Structure (Quantum ESPRESSO input):
```
&SYSTEM
  ibrav = 0, nat = 11, ntyp = 3
/
ATOMIC_SPECIES
Si 28.09 Si.upf
Pm 145.00 Pm.upf
Pt 195.08 Pt.upf
CELL_PARAMETERS angstrom
4.211 0.000 0.000
0.000 4.175 0.000
-2.106 -2.088 12.249
ATOMIC_POSITIONS crystal
Si 0.549 0.549 0.098
Pm 0.354 0.854 0.709
Pt 0.247 0.247 0.494
Si 0.451 0.451 0.902
Pt 0.097 0.597 0.193
Pt 0.903 0.403 0.807
Si 0.805 0.305 0.611
Si 0.195 0.695 0.389
Pt 0.753 0.753 0.506
Pm 0.646 0.146 0.291
Pm 0.000 0.000 0.000
```

***

[2]
First-principles (PBE) data for a geometry-optimized Tb5PmBi6 structure, as listed in the Alexandria database. Values from VASP.

Its total magnetic moment is 0.0 μB per formula unit. The symmetry is No. 12. Its formation energy is -10.67 eV per formula unit. The calculation puts the volume at 388.6 Å³/cell.

Structure (Quantum ESPRESSO input):
```
&SYSTEM
  ibrav = 0, nat = 12, ntyp = 3
/
ATOMIC_SPECIES
Tb 158.93 Tb.upf
Bi 208.98 Bi.upf
Pm 145.00 Pm.upf
CELL_PARAMETERS angstrom
-2.189 -4.985 -5.596
6.308 -3.504 -2.981
2.595 -6.674 3.113
ATOMIC_POSITIONS crystal
Tb 0.000 0.333 0.334
Bi 0.748 0.084 0.337
Bi 0.252 0.579 0.337
Tb 0.500 0.500 0.000
Tb 0.500 0.835 0.330
Bi 0.251 0.253 0.000
Bi 0.748 0.421 0.663
Tb 0.000 0.667 0.666
Bi 0.749 0.747 0.000
Tb 0.500 0.165 0.670
Pm 0.000 0.000 0.000
Bi 0.252 0.916 0.663
```

***

[3]
First-principles (PBE) data for a geometry-optimized BaPmAsO5 structure, as listed in the Alexandria database. Values from VASP.

The calculation puts the energy relative to the elements, uncorrected at -19.49 eV per formula unit. Its total magnetic moment is 0.0 μB per formula unit. The symmetry is No. 15. The calculation puts the volume at 283.8 Å³/cell.

Structure (Quantum ESPRESSO input):
```
&SYSTEM
  ibrav = 0, nat = 16, ntyp = 4
/
ATOMIC_SPECIES
As 74.92 As.upf
O 16.00 O.upf
Pm 145.00 Pm.upf
Ba 137.33 Ba.upf
CELL_PARAMETERS angstrom
-6.228 -0.571 -0.945
1.135 -1.676 5.993
1.113 7.956 0.087
ATOMIC_POSITIONS crystal
As 0.318 0.682 0.750
O 0.746 0.587 0.405
Pm 0.000 0.000 0.500
O 0.090 0.910 0.250
O 0.119 0.681 0.867
O 0.681 0.119 0.367
O 0.881 0.319 0.133
As 0.682 0.318 0.250
Pm 0.000 0.000 0.000
O 0.254 0.413 0.595
Ba 0.331 0.669 0.250
O 0.319 0.881 0.633
O 0.910 0.090 0.750
Ba 0.669 0.331 0.750
O 0.413 0.254 0.095
O 0.587 0.746 0.905
```

***

[4]
First-principles (PBE) data for a geometry-optimized Pm3Y6Tm2 structure, as listed in the Alexandria database. Values from VASP.

Its total magnetic moment is 0.0 μB per formula unit. The symmetry is No. 166. Its formation energy is 0.23 eV per formula unit. The calculation puts the volume at 355.5 Å³/cell.

Structure (Quantum ESPRESSO input):
```
&SYSTEM
  ibrav = 0, nat = 11, ntyp = 3
/
ATOMIC_SPECIES
Y 88.91 Y.upf
Pm 145.00 Pm.upf
Tm 168.93 Tm.upf
CELL_PARAMETERS angstrom
-3.572 0.263 0.057
-1.776 -0.387 3.087
0.619 31.408 6.371
ATOMIC_POSITIONS crystal
Y 0.908 0.908 0.276
Y 0.636 0.636 0.092
Pm 0.728 0.728 0.816
Y 0.092 0.092 0.724
Y 0.364 0.364 0.908
Pm 0.272 0.272 0.184
Y 0.818 0.818 0.546
Tm 0.545 0.545 0.365
Tm 0.455 0.455 0.635
Pm 0.000 0.000 0.000
Y 0.182 0.182 0.454
```